#one
Computed, not measured: a geometry-optimized Sm2TmIn4 structure at the PBE level of DFT.

Unit cell a=8.8846 b=8.8846 c=8.8846 alpha=143.22 beta=143.22 gamma=52.99
Last column: nearest neighbours and their distance in Å.
Fractional positions:
Sm: 0.1088 0.1088 0.0000  5 In 3.20-3.29, 1 Sm 3.46
Sm: 0.8912 0.8912 0.0000  5 In 3.20-3.29, 1 Sm 3.46
Tm: 0.5000 0.5000 0.0000  6 In 2.80-3.02
In: 0.0000 0.5000 0.5000  2 Tm 2.80
In: 0.3102 0.3102 0.0000  1 Tm 3.02, 1 Sm 3.20
In: 0.5000 0.0000 0.5000  2 Tm 2.80
In: 0.6898 0.6898 0.0000  1 Tm 3.02, 1 Sm 3.20

Properties
Crystal system ... tetragonal



#two
Computed, not measured: a geometry-optimized Sm2TmIn4 structure at the PBE level of DFT.

Unit cell a=8.2742 b=8.2742 c=8.2742 alpha=142.92 beta=142.92 gamma=53.44
Last column: nearest neighbours and their distance in Å.
Fractional positions:
Sm: 0.2502 0.2502 0.0000  8 In 3.34-3.35, 1 Tm 3.70, 4 Sm 3.72
Sm: 0.7498 0.7498 0.0000  8 In 3.34-3.35, 1 Tm 3.70, 4 Sm 3.72
Tm: 0.0000 0.0000 0.0000  8 In 3.10
In: 0.1103 0.6103 0.5000  2 Tm 3.10, 1 In 3.26, 4 Sm 3.34-3.35
In: 0.3897 0.8897 0.5000  2 Tm 3.10, 1 In 3.26, 4 Sm 3.34-3.35
In: 0.6103 0.1103 0.5000  2 Tm 3.10, 1 In 3.26, 4 Sm 3.34-3.35
In: 0.8897 0.3897 0.5000  2 Tm 3.10, 1 In 3.26, 4 Sm 3.34-3.35

Properties
Crystal system ... tetragonal



Short version: #two, #one, most stable first.



#one
Computed, not measured: a geometry-optimized Sm4TmIn structure at the PBE level of DFT.

Unit cell a=4.0823 b=4.0823 c=11.3467 alpha=90.00 beta=90.00 gamma=90.00
Last column: nearest neighbours and their distance in Å.
Fractional positions:
Sm: 0.0000 0.0000 0.1477  4 In 3.34, 5 Sm 3.35-3.59
Sm: 0.0000 0.0000 0.8523  4 In 3.34, 5 Sm 3.35-3.59
Sm: 0.5000 0.5000 0.3361  4 Tm 3.43, 5 Sm 3.59-3.72, 1 In 3.81
Sm: 0.5000 0.5000 0.6639  4 Tm 3.43, 5 Sm 3.59-3.72, 1 In 3.81
Tm: 0.0000 0.0000 0.5000  8 Sm 3.43
In: 0.5000 0.5000 0.0000  8 Sm 3.34

Properties
Crystal system ... tetragonal



#two
Computed, not measured: a geometry-optimized Sm4TmIn structure at the PBE level of DFT.

Unit cell a=10.9468 b=10.9468 c=6.4514 alpha=90.00 beta=90.00 gamma=150.13
Last column: nearest neighbours and their distance in Å.
Fractional positions:
Sm: 0.0432 0.9568 0.5000  2 In 3.13-3.14, 1 Sm 3.21
Sm: 0.1872 0.8128 0.3422  1 In 3.12, 4 Sm 3.14-3.29
Sm: 0.2484 0.7516 0.8116  3 Sm 3.14-3.29, 1 In 3.17, 1 Tm 3.45
Sm: 0.4373 0.5627 0.6791  2 In 3.32, 2 Tm 3.52-3.65, 2 Sm 3.52
Sm: 0.5627 0.4373 0.1791  2 In 3.32, 2 Tm 3.52-3.65, 2 Sm 3.52
Sm: 0.7516 0.2484 0.3116  3 Sm 3.14-3.29, 1 In 3.17, 1 Tm 3.45
Sm: 0.8128 0.1872 0.8422  1 In 3.12, 4 Sm 3.14-3.29
Sm: 0.9568 0.0432 0.0000  2 In 3.13-3.14, 1 Sm 3.21
Tm: 0.3634 0.6366 0.1906  2 In 3.33, 5 Sm 3.45-3.66
Tm: 0.6366 0.3634 0.6906  2 In 3.33, 5 Sm 3.45-3.66
In: 0.1041 0.8959 0.9428  6 Sm 3.12-3.32, 2 Tm 3.33
In: 0.8959 0.1041 0.4428  6 Sm 3.12-3.32, 2 Tm 3.33

Properties
Crystal system ... orthorhombic



Short version: #one, #two, most stable first.



#one
Computed, not measured: a geometry-optimized Sm3Tm4In structure at the PBE level of DFT.

Unit cell a=10.6207 b=10.6207 c=10.6207 alpha=153.36 beta=153.22 gamma=38.14
Last column: nearest neighbours and their distance in Å.
Fractional positions:
Sm: 0.0000 0.0000 0.0000  4 In 3.47, 4 Sm 3.49, 4 Tm 3.50
Sm: 0.3765 0.8765 0.5000  8 Tm 3.47-3.57, 2 In 3.48, 2 Sm 3.49
Sm: 0.6235 0.1235 0.5000  8 Tm 3.47-3.57, 2 In 3.48, 2 Sm 3.49
Tm: 0.1246 0.6246 0.5000  6 Sm 3.47-3.50, 4 Tm 3.47-3.56, 2 In 3.51
Tm: 0.2472 0.2472 0.0000  8 Tm 3.47-3.56, 4 Sm 3.50-3.57
Tm: 0.7528 0.7528 0.0000  8 Tm 3.47-3.56, 4 Sm 3.50-3.57
Tm: 0.8754 0.3754 0.5000  6 Sm 3.47-3.50, 4 Tm 3.47-3.56, 2 In 3.51
In: 0.5000 0.5000 0.0000  8 Sm 3.47-3.48, 4 Tm 3.51

Properties
Crystal system ... orthorhombic



#two
Computed, not measured: a geometry-optimized Sm3Tm4In structure at the PBE level of DFT.

Unit cell a=11.1844 b=7.0232 c=6.1614 alpha=90.00 beta=90.00 gamma=90.00
Last column: nearest neighbours and their distance in Å.
Fractional positions:
Sm: 0.0000 0.1281 0.0000  5 Tm 3.35-3.51, 4 Sm 3.42-3.52, 2 In 3.47-3.74
Sm: 0.2383 0.1164 0.3468  2 In 3.39-3.54, 4 Sm 3.42-3.52, 6 Tm 3.45-3.67
Sm: 0.2617 0.8836 0.8468  2 In 3.39-3.54, 4 Sm 3.42-3.52, 6 Tm 3.45-3.67
Sm: 0.5000 0.8719 0.5000  5 Tm 3.35-3.51, 4 Sm 3.42-3.52, 2 In 3.47-3.74
Sm: 0.7383 0.8836 0.8468  2 In 3.39-3.54, 4 Sm 3.42-3.52, 6 Tm 3.45-3.67
Sm: 0.7617 0.1164 0.3468  2 In 3.39-3.54, 4 Sm 3.42-3.52, 6 Tm 3.45-3.67
Tm: 0.0000 0.3798 0.5384  3 Sm 3.35-3.45, 6 Tm 3.37-3.64, 2 In 3.38-3.64
Tm: 0.0000 0.6281 0.0203  6 Tm 3.42-3.64, 2 In 3.46-3.52, 4 Sm 3.51-3.60
Tm: 0.2408 0.6226 0.3622  1 In 3.33, 6 Tm 3.37-3.54, 5 Sm 3.47-3.67
Tm: 0.2592 0.3774 0.8622  1 In 3.33, 6 Tm 3.37-3.54, 5 Sm 3.47-3.67
Tm: 0.5000 0.3719 0.5203  6 Tm 3.42-3.64, 2 In 3.46-3.52, 4 Sm 3.51-3.60
Tm: 0.5000 0.6202 0.0384  3 Sm 3.35-3.45, 6 Tm 3.37-3.64, 2 In 3.38-3.64
Tm: 0.7408 0.3774 0.8622  1 In 3.33, 6 Tm 3.37-3.54, 5 Sm 3.47-3.67
Tm: 0.7592 0.6226 0.3622  1 In 3.33, 6 Tm 3.37-3.54, 5 Sm 3.47-3.67
In: 0.0000 0.8615 0.5255  6 Tm 3.33-3.64, 5 Sm 3.39-3.54
In: 0.5000 0.1385 0.0255  6 Tm 3.33-3.64, 5 Sm 3.39-3.54

Properties
Crystal system ... orthorhombic



Short version: #two, #one, most stable first.



#one
Computed, not measured: a geometry-optimized SmTmIn6 structure at the PBE level of DFT.

Unit cell a=6.6178 b=6.6178 c=5.3211 alpha=90.00 beta=90.00 gamma=120.00
Last column: nearest neighbours and their distance in Å.
Fractional positions:
Sm: 0.0000 0.0000 0.0000  12 In 3.31-3.32
Tm: 0.6667 0.3333 0.5000  12 In 3.30-3.31
In: 0.0065 0.5033 0.0000  8 In 3.24-3.37, 2 Tm 3.30, 2 Sm 3.31
In: 0.1735 0.3470 0.5000  8 In 3.17-3.44, 2 Tm 3.31, 2 Sm 3.32
In: 0.1735 0.8265 0.5000  8 In 3.17-3.44, 2 Tm 3.31, 2 Sm 3.32
In: 0.4967 0.5033 0.0000  8 In 3.24-3.37, 2 Tm 3.30, 2 Sm 3.31
In: 0.4967 0.9935 0.0000  8 In 3.24-3.37, 2 Tm 3.30, 2 Sm 3.31
In: 0.6530 0.8265 0.5000  8 In 3.17-3.44, 2 Tm 3.31, 2 Sm 3.32

Properties
Crystal system ... hexagonal



#two
Computed, not measured: a geometry-optimized SmTmIn6 structure at the PBE level of DFT.

Unit cell a=4.6501 b=4.6501 c=9.2919 alpha=90.00 beta=90.00 gamma=90.00
Last column: nearest neighbours and their distance in Å.
Fractional positions:
Sm: 0.0000 0.0000 0.0000  12 In 3.29-3.32
Tm: 0.0000 0.0000 0.5000  12 In 3.26-3.29
In: 0.0000 0.5000 0.2545  8 In 3.26-3.32, 2 Tm 3.26, 2 Sm 3.32
In: 0.0000 0.5000 0.7455  8 In 3.26-3.32, 2 Tm 3.26, 2 Sm 3.32
In: 0.5000 0.0000 0.2545  8 In 3.26-3.32, 2 Tm 3.26, 2 Sm 3.32
In: 0.5000 0.0000 0.7455  8 In 3.26-3.32, 2 Tm 3.26, 2 Sm 3.32
In: 0.5000 0.5000 0.0000  4 Sm 3.29, 8 In 3.32
In: 0.5000 0.5000 0.5000  8 In 3.26, 4 Tm 3.29

Properties
Crystal system ... tetragonal



Short version: #two, #one, most stable first.